1.
Compound: SrWCl2
Source: Alexandria
Functional: GGA-PBE
Structure: relaxed

Summary:
Symmetry: Pmmm
Energy relative to the elements, uncorrected: -165.3 meV per atom
Density: 6.89 g cm⁻³

Cell lengths 4.1723, 3.2451, 6.0922 Å; angles 90.00, 90.00, 90.00 degrees
Element x y z (fractional)
Sr: 0.5000 0.2500 0.2500
Cl: 0.0000 0.7499 0.5158
Cl: 0.0000 0.7501 0.9842
W: 0.5000 0.7500 0.7500

---

2.
Compound: Sr2WCl
Source: Alexandria
Functional: GGA-PBE
Structure: relaxed

Summary:
Symmetry: P4mm
Energy relative to the elements, uncorrected: 365.4 meV per atom
Density: 5.17 g cm⁻³

Cell lengths 4.4601, 4.4601, 6.3690 Å; angles 90.00, 90.00, 90.00 degrees
Site moments in Bohr magnetons follow the coordinates.
Element x y z (fractional)
W: 0.0000 0.0000 0.3734  2.30
Sr: 0.5000 0.5000 0.3777  0.06
Sr: 0.0000 0.0000 0.8731  0.01
Cl: 0.5000 0.5000 0.8758  0.00

---

3.
Compound: SrWCl
Source: Alexandria
Functional: GGA-PBE
Structure: relaxed

Summary:
Symmetry: I4mm
Energy relative to the elements, uncorrected: 573.8 meV per atom
Density: 6.84 g cm⁻³

Cell lengths 8.0725, 8.0717, 3.0976 Å; angles 78.95, 78.92, 22.12 degrees
Site moments in Bohr magnetons follow the coordinates.
Element x y z (fractional)
Sr: 0.3495 0.3495 0.6505  0.00
W: 0.6816 0.6816 0.3184  0.13
Cl: 0.9690 0.9690 0.0310  0.01

---

4.
Compound: SrWCl
Source: Alexandria
Functional: GGA-PBE
Structure: relaxed

Summary:
Symmetry: F-43m
Energy relative to the elements, uncorrected: 1086.3 meV per atom
Density: 5.56 g cm⁻³

Cell lengths 5.0601, 5.0601, 5.0601 Å; angles 60.00, 60.00, 60.00 degrees
Site moments in Bohr magnetons follow the coordinates.
Element x y z (fractional)
Sr: 0.0000 0.0000 0.0000  0.08
Cl: 0.7500 0.7500 0.7500  0.09
W: 0.5000 0.5000 0.5000  3.36

---

5.
Compound: Sr2WCl
Source: Alexandria
Functional: GGA-PBE
Structure: relaxed

Summary:
Symmetry: P2/m
Energy relative to the elements, uncorrected: 28.0 meV per atom
Density: 6.32 g cm⁻³

Cell lengths 3.3807, 3.3807, 9.6770 Å; angles 69.63, 90.00, 90.00 degrees
Element x y z (fractional)
W: 0.5000 0.2500 0.2500
Sr: 0.0000 0.4978 0.5029
Sr: 0.0000 0.0022 0.9971
Cl: 0.5000 0.7500 0.7500

---

6.
Compound: Sr2WCl
Source: Alexandria
Functional: GGA-PBE
Structure: relaxed

Summary:
Symmetry: C2/m
Energy relative to the elements, uncorrected: 247.9 meV per atom
Density: 5.93 g cm⁻³

Cell lengths 5.8039, 5.8039, 3.2771 Å; angles 89.82, 89.82, 89.99 degrees
Site moments in Bohr magnetons follow the coordinates.
Element x y z (fractional)
Sr: 0.0000 0.0000 0.0000  0.01
Sr: 0.5000 0.5000 0.0000  0.01
W: 0.5000 0.0000 0.5000  1.15
Cl: 0.0000 0.5000 0.5000  0.02

---

7.
Compound: Sr4WCl2
Source: Alexandria
Functional: GGA-PBE
Structure: relaxed

Summary:
Symmetry: I4/mmm
Energy relative to the elements, uncorrected: -115.2 meV per atom
Density: 3.61 g cm⁻³

Cell lengths 6.1009, 6.1009, 8.6395 Å; angles 69.32, 69.32, 90.00 degrees
Site moments in Bohr magnetons follow the coordinates.
Element x y z (fractional)
Cl: 0.3941 0.3941 0.2119  0.01
Cl: 0.6059 0.6059 0.7881  0.01
Sr: 0.2077 0.2077 0.5845  0.01
Sr: 0.5000 0.0000 0.0000  0.05
Sr: 0.7923 0.7923 0.4155  0.01
Sr: 0.0000 0.5000 0.0000  0.05
W: 0.0000 0.0000 0.0000  1.78

---

8.
Compound: SrWCl
Source: Alexandria
Functional: GGA-PBE
Structure: relaxed

Summary:
Symmetry: P-6m2
Energy relative to the elements, uncorrected: 898.9 meV per atom
Density: 6.37 g cm⁻³

Cell lengths 5.0252, 5.0252, 3.6575 Å; angles 90.00, 90.00, 120.00 degrees
Site moments in Bohr magnetons follow the coordinates.
Element x y z (fractional)
W: 0.3333 0.6667 0.8330  2.85
Sr: 0.6667 0.3333 0.3329  0.15
Cl: 0.0000 0.0000 0.8341  0.10